(1)
Compound: LaEr2Hg
Source: the Alexandria database
Functional: PBE
Structure: relaxed

Unit cell a=3.768 b=5.579 c=11.493 alpha=90.00 beta=90.00 gamma=90.00
Space group Immm (No. 71)
Unique sites:
La (0.000, 0.000, 0.000) [2 per cell]
Er (0.000, 0.500, 0.219) [4 per cell]
Hg (0.000, 0.000, 0.500) [2 per cell]

Values from the calculation:
E above lowest polymorph = 0 meV per atom
Formation enthalpy at 0 K = -0.24 eV/atom
Total DFT energy (no corrections) = -0.1405 hartree per atom
Spin magnetization = 0.000 μB/atom



(2)
Compound: RbSr2US5
Source: the Alexandria database
Functional: PBE
Structure: relaxed

Unit cell a=5.135 b=7.512 c=14.173 alpha=90.00 beta=90.00 gamma=90.00
Space group Immm (No. 71)
Unique sites:
Rb (0.000, 0.000, 0.000) [2 per cell]
Sr (0.000, 0.500, 0.212) [4 per cell]
U (0.000, 0.000, 0.500) [2 per cell]
S (0.000, 0.232, 0.363) [8 per cell]
S (0.000, 0.500, 0.000) [2 per cell]

Values from the calculation:
Total DFT energy (no corrections) = -0.2095 hartree per atom
Spin magnetization = 0.111 μB/atom
E_form (uncorrected) = -1673 meV per atom



(3)
Compound: Mg2TlCd
Source: the Alexandria database
Functional: PBE
Structure: relaxed

Unit cell a=7.206 b=7.206 c=7.206 alpha=90.00 beta=90.00 gamma=90.00
Space group Fm-3m (No. 225)
Unique sites:
Mg (0.250, 0.250, 0.250) [8 per cell]
Tl (0.000, 0.000, 0.000) [4 per cell]
Cd (0.000, 0.000, 0.500) [4 per cell]

Values from the calculation:
Formation enthalpy at 0 K = -0.05 eV/atom
Total DFT energy (no corrections) = -0.0612 hartree per atom
Spin magnetization = 0.000 μB/atom



(4)
Compound: Ca2Si4IrPt3
Source: the Alexandria database
Functional: PBE
Structure: relaxed

Unit cell a=4.113 b=4.113 c=10.267 alpha=90.00 beta=90.00 gamma=90.00
Space group P-4m2 (No. 115)
Unique sites:
Ca (0.000, 0.500, 0.247) [2 per cell]
Si (0.000, 0.000, 0.000) [1 per cell]
Si (0.000, 0.500, 0.632) [2 per cell]
Si (0.500, 0.500, 0.000) [1 per cell]
Ir (0.000, 0.000, 0.500) [1 per cell]
Pt (0.000, 0.500, 0.869) [2 per cell]
Pt (0.500, 0.500, 0.500) [1 per cell]

Values from the calculation:
Total DFT energy (no corrections) = -0.2288 hartree per atom
Spin magnetization = 0.000 μB/atom
E_form (uncorrected) = -959 meV per atom



(5)
Compound: LiThCdGa
Source: the Alexandria database
Functional: PBE
Structure: relaxed

Unit cell a=7.190 b=7.190 c=7.190 alpha=90.00 beta=90.00 gamma=90.00
Space group F-43m (No. 216)
Unique sites:
Li (0.000, 0.000, 0.000) [4 per cell]
Th (0.000, 0.000, 0.500) [4 per cell]
Cd (0.250, 0.250, 0.750) [4 per cell]
Ga (0.250, 0.250, 0.250) [4 per cell]

Values from the calculation:
Formation enthalpy at 0 K = -0.21 eV/atom
Total DFT energy (no corrections) = -0.1297 hartree per atom
Spin magnetization = 0.000 μB/atom



(6)
Compound: YCdSbF2
Source: the Alexandria database
Functional: PBE
Structure: relaxed

Unit cell a=4.347 b=4.347 c=6.430 alpha=90.00 beta=90.00 gamma=90.00
Space group P4/mmm (No. 123)
Unique sites:
Y (0.000, 0.000, 0.000) [1 per cell]
Cd (0.500, 0.500, 0.500) [1 per cell]
Sb (0.000, 0.000, 0.500) [1 per cell]
F (0.000, 0.500, 0.000) [2 per cell]

Values from the calculation:
Total DFT energy (no corrections) = -0.1943 hartree per atom
Spin magnetization = 0.000 μB/atom
E_form (uncorrected) = -2239 meV per atom



(7)
Compound: BaSr3Pd
Source: the Alexandria database
Functional: PBE
Structure: relaxed

Unit cell a=7.586 b=7.600 c=9.828 alpha=104.97 beta=104.90 gamma=109.36
Space group P1 (No. 1)
Unique sites:
Ba (0.000, 0.000, 0.000) [1 per cell]
Ba (0.368, 0.872, 0.744) [1 per cell]
Sr (0.121, 0.626, 0.246) [1 per cell]
Sr (0.242, 0.258, 0.500) [1 per cell]
Sr (0.494, 0.506, 0.000) [1 per cell]
Sr (0.619, 0.124, 0.254) [1 per cell]
Sr (0.749, 0.741, 0.491) [1 per cell]
Sr (0.885, 0.389, 0.745) [1 per cell]
Pd (0.253, 0.751, 0.005) [1 per cell]
Pd (0.991, 0.494, 0.486) [1 per cell]

Values from the calculation:
E above lowest polymorph = 5 meV per atom
Formation enthalpy at 0 K = -0.29 eV/atom
Total DFT energy (no corrections) = -0.1002 hartree per atom
Spin magnetization = 0.000 μB/atom



(8)
Compound: LaGa6
Source: the Alexandria database
Functional: PBE
Structure: relaxed

Unit cell a=6.966 b=6.966 c=6.966 alpha=90.00 beta=90.00 gamma=90.00
Space group Im-3m (No. 229)
Unique sites:
La (0.000, 0.000, 0.000) [2 per cell]
Ga (0.000, 0.250, 0.500) [12 per cell]

Values from the calculation:
E above lowest polymorph = 303 meV per atom
Formation enthalpy at 0 K = -0.06 eV/atom
Total DFT energy (no corrections) = -0.1236 hartree per atom
Spin magnetization = 0.000 μB/atom



Question: Number 4 is which compound?
Answer: Ca2Si4IrPt3



Question: total DFT energy (no corrections) of number 8 (LaGa6)?
Answer: -0.1236 hartree per atom